# 1
# Ca4Ag2S GGA-PBE optimized geometry
data_Ca4Ag2S
_chemical_formula_sum 'Ca8 Ag4 S2'
_cell_length_a 5.326
_cell_length_b 5.326
_cell_length_c 15.228
_cell_angle_alpha 90.00
_cell_angle_beta 90.00
_cell_angle_gamma 90.00
_symmetry_space_group_name_H-M 'I 4/m m m'
_symmetry_Int_Tables_number 139
_symmetry_space_group_name_Hall '-I 4 2'
loop_
_atom_site_label
_atom_site_fract_x
_atom_site_fract_y
_atom_site_fract_z
_atom_site_occupancy
Ca1 0.000 0.000 0.189 1
Ca2 0.000 0.500 0.000 1
Ag1 0.000 0.000 0.385 1
S1 0.000 0.000 0.000 1
# Raw formation energy ... -0.607 eV per atom
# Uncorrected energy ... -44.17 eV for the cell shown

---

# 2
# Ca6Ag2S GGA-PBE optimized geometry
data_Ca6Ag2S
_chemical_formula_sum 'Ca12 Ag4 S2'
_cell_length_a 6.953
_cell_length_b 7.968
_cell_length_c 12.300
_cell_angle_alpha 90.00
_cell_angle_beta 123.59
_cell_angle_gamma 90.00
_symmetry_space_group_name_H-M 'P 1 21/c 1'
_symmetry_Int_Tables_number 14
_symmetry_space_group_name_Hall '-P 2ybc'
loop_
_atom_site_label
_atom_site_fract_x
_atom_site_fract_y
_atom_site_fract_z
_atom_site_occupancy
Ca1 0.106 0.181 0.439 1
Ca2 0.279 0.683 0.438 1
Ca3 0.381 0.036 0.246 1
Ag1 0.199 0.110 0.746 1
S1 0.500 0.000 0.500 1
# Raw formation energy ... -0.582 eV per atom
# Uncorrected energy ... -54.16 eV for the cell shown

---

# 3
# CaAgS2 GGA-PBE optimized geometry
data_CaAgS2
_chemical_formula_sum 'Ca4 Ag4 S8'
_cell_length_a 6.797
_cell_length_b 6.797
_cell_length_c 6.797
_cell_angle_alpha 90.00
_cell_angle_beta 90.00
_cell_angle_gamma 90.00
_symmetry_space_group_name_H-M 'F m -3 m'
_symmetry_Int_Tables_number 225
_symmetry_space_group_name_Hall '-F 4 2 3'
loop_
_atom_site_label
_atom_site_fract_x
_atom_site_fract_y
_atom_site_fract_z
_atom_site_occupancy
Ca1 0.000 0.000 0.000 1
Ag1 0.000 0.000 0.500 1
S1 0.250 0.250 0.250 1
# Raw formation energy ... -0.723 eV per atom
# Uncorrected energy ... -64.00 eV for the cell shown

---

# 4
# CaAgS GGA-PBE optimized geometry
data_CaAgS
_chemical_formula_sum 'Ca4 Ag4 S4'
_cell_length_a 10.439
_cell_length_b 3.800
_cell_length_c 7.236
_cell_angle_alpha 90.00
_cell_angle_beta 117.29
_cell_angle_gamma 90.00
_symmetry_space_group_name_H-M 'C 1 2/m 1'
_symmetry_Int_Tables_number 12
_symmetry_space_group_name_Hall '-C 2y'
loop_
_atom_site_label
_atom_site_fract_x
_atom_site_fract_y
_atom_site_fract_z
_atom_site_occupancy
Ca1 0.061 0.000 0.326 1
Ag1 0.144 0.500 0.047 1
S1 0.171 0.500 0.680 1
# Distance to the lowest polymorph of the same formula ... 0.189 eV per atom
# Raw formation energy ... -1.001 eV per atom
# Uncorrected energy ... -47.94 eV for the cell shown

---

# 5
# CaAg3S GGA-PBE optimized geometry
data_CaAg3S
_chemical_formula_sum 'Ca1 Ag3 S1'
_cell_length_a 4.978
_cell_length_b 4.978
_cell_length_c 4.978
_cell_angle_alpha 90.00
_cell_angle_beta 90.00
_cell_angle_gamma 90.00
_symmetry_space_group_name_H-M 'P m -3 m'
_symmetry_Int_Tables_number 221
_symmetry_space_group_name_Hall '-P 4 2 3'
loop_
_atom_site_label
_atom_site_fract_x
_atom_site_fract_y
_atom_site_fract_z
_atom_site_occupancy
Ca1 0.000 0.000 0.000 1
Ag1 0.000 0.500 0.500 1
S1 0.500 0.500 0.500 1
# Distance to the lowest polymorph of the same formula ... 0.000 eV per atom
# Raw formation energy ... 0.115 eV per atom
# Uncorrected energy ... -14.11 eV for the cell shown

---

# 6
# CaAg3S GGA-PBE optimized geometry
data_CaAg3S
_chemical_formula_sum 'Ca1 Ag3 S1'
_cell_length_a 5.348
_cell_length_b 5.348
_cell_length_c 5.348
_cell_angle_alpha 90.00
_cell_angle_beta 90.00
_cell_angle_gamma 90.00
_symmetry_space_group_name_H-M 'P m -3 m'
_symmetry_Int_Tables_number 221
_symmetry_space_group_name_Hall '-P 4 2 3'
loop_
_atom_site_label
_atom_site_fract_x
_atom_site_fract_y
_atom_site_fract_z
_atom_site_occupancy
Ca1 0.000 0.000 0.000 1
Ag1 0.000 0.000 0.500 1
S1 0.500 0.500 0.500 1
# Distance to the lowest polymorph of the same formula ... 0.990 eV per atom
# Raw formation energy ... 1.105 eV per atom
# Uncorrected energy ... -9.16 eV for the cell shown

---

# 7
# CaAgS GGA-PBE optimized geometry
data_CaAgS
_chemical_formula_sum 'Ca2 Ag2 S2'
_cell_length_a 3.904
_cell_length_b 3.904
_cell_length_c 9.001
_cell_angle_alpha 90.00
_cell_angle_beta 90.00
_cell_angle_gamma 90.00
_symmetry_space_group_name_H-M 'P 4/n m m'
_symmetry_Int_Tables_number 129
loop_
_symmetry_equiv_pos_as_xyz
'x,y,z'
'-x,-y,-z'
'-y+1/2,x,z'
'y+1/2,-x,-z'
'-x+1/2,-y+1/2,z'
'x+1/2,y+1/2,-z'
'y,-x+1/2,z'
'-y,x+1/2,-z'
'x+1/2,-y,-z'
'-x+1/2,y,z'
'-y,-x,-z'
'y,x,z'
'-x,y+1/2,-z'
'x,-y+1/2,z'
'y+1/2,x+1/2,-z'
'-y+1/2,-x+1/2,z'
loop_
_atom_site_label
_atom_site_fract_x
_atom_site_fract_y
_atom_site_fract_z
_atom_site_occupancy
Ca1 0.250 0.250 0.169 1
Ag1 0.250 0.250 0.555 1
S1 0.250 0.250 0.848 1
# Distance to the lowest polymorph of the same formula ... 0.000 eV per atom
# Raw formation energy ... -1.191 eV per atom
# Uncorrected energy ... -25.10 eV for the cell shown

---

# 8
# CaAg2S2 GGA-PBE optimized geometry
data_CaAg2S2
_chemical_formula_sum 'Ca2 Ag4 S4'
_cell_length_a 3.890
_cell_length_b 3.890
_cell_length_c 13.636
_cell_angle_alpha 90.00
_cell_angle_beta 90.00
_cell_angle_gamma 90.00
_symmetry_space_group_name_H-M 'I 4/m m m'
_symmetry_Int_Tables_number 139
_symmetry_space_group_name_Hall '-I 4 2'
loop_
_atom_site_label
_atom_site_fract_x
_atom_site_fract_y
_atom_site_fract_z
_atom_site_occupancy
Ca1 0.000 0.000 0.000 1
Ag1 0.000 0.500 0.250 1
S1 0.000 0.000 0.390 1
# Raw formation energy ... -0.681 eV per atom
# Uncorrected energy ... -38.73 eV for the cell shown

---

# 9
# CaAgS2 GGA-PBE optimized geometry
data_CaAgS2
_chemical_formula_sum 'Ca4 Ag4 S8'
_cell_length_a 5.565
_cell_length_b 5.565
_cell_length_c 13.748
_cell_angle_alpha 90.00
_cell_angle_beta 90.00
_cell_angle_gamma 90.00
_symmetry_space_group_name_H-M 'I -4 2 d'
_symmetry_Int_Tables_number 122
_symmetry_space_group_name_Hall 'I -4 2bw'
loop_
_atom_site_label
_atom_site_fract_x
_atom_site_fract_y
_atom_site_fract_z
_atom_site_occupancy
Ca1 0.000 0.000 0.000 1
Ag1 0.000 0.000 0.500 1
S1 0.212 0.250 0.625 1
# Raw formation energy ... -0.769 eV per atom
# Uncorrected energy ... -64.74 eV for the cell shown

---

# 10
# CaAgS2 GGA-PBE optimized geometry
data_CaAgS2
_chemical_formula_sum 'Ca3 Ag3 S6'
_cell_length_a 4.0877
_cell_length_b 4.0877
_cell_length_c 23.1281
_cell_angle_alpha 90.00
_cell_angle_beta 90.00
_cell_angle_gamma 120.00
_symmetry_space_group_name_H-M 'R -3 m'
_symmetry_Int_Tables_number 166
_symmetry_space_group_name_Hall '-R 3 2"'
loop_
_atom_site_label
_atom_site_fract_x
_atom_site_fract_y
_atom_site_fract_z
_atom_site_occupancy
Ca1 0.0000 0.0000 0.0000 1
Ag1 0.0000 0.0000 0.5000 1
S1 0.0000 0.0000 0.3999 1
# Raw formation energy ... -0.745 eV per atom
# Uncorrected energy ... -48.26 eV for the cell shown

---

# 11
# CaAgS3 GGA-PBE optimized geometry
data_CaAgS3
_chemical_formula_sum 'Ca1 Ag1 S3'
_cell_length_a 4.851
_cell_length_b 4.851
_cell_length_c 4.851
_cell_angle_alpha 90.00
_cell_angle_beta 90.00
_cell_angle_gamma 90.00
_symmetry_space_group_name_H-M 'P m -3 m'
_symmetry_Int_Tables_number 221
_symmetry_space_group_name_Hall '-P 4 2 3'
loop_
_atom_site_label
_atom_site_fract_x
_atom_site_fract_y
_atom_site_fract_z
_atom_site_occupancy
Ca1 0.000 0.000 0.000 1
Ag1 0.500 0.500 0.500 1
S1 0.000 0.500 0.500 1
# Distance to the lowest polymorph of the same formula ... 0.000 eV per atom
# Raw formation energy ... -0.258 eV per atom
# Uncorrected energy ... -18.53 eV for the cell shown

---

# 12
# CaAgS GGA-PBE optimized geometry
data_CaAgS
_chemical_formula_sum 'Ca4 Ag4 S4'
_cell_length_a 8.374
_cell_length_b 4.208
_cell_length_c 8.617
_cell_angle_alpha 90.00
_cell_angle_beta 90.00
_cell_angle_gamma 90.00
_symmetry_space_group_name_H-M 'P n m a'
_symmetry_Int_Tables_number 62
_symmetry_space_group_name_Hall '-P 2ac 2n'
loop_
_atom_site_label
_atom_site_fract_x
_atom_site_fract_y
_atom_site_fract_z
_atom_site_occupancy
Ca1 0.189 0.250 0.055 1
Ag1 0.054 0.250 0.407 1
S1 0.136 0.750 0.849 1
# Distance to the lowest polymorph of the same formula ... 0.196 eV per atom
# Raw formation energy ... -0.995 eV per atom
# Uncorrected energy ... -47.86 eV for the cell shown

---

# 13
# CaAgS GGA-PBE optimized geometry
data_CaAgS
_chemical_formula_sum 'Ca4 Ag4 S4'
_cell_length_a 13.281
_cell_length_b 5.608
_cell_length_c 5.104
_cell_angle_alpha 90.00
_cell_angle_beta 111.97
_cell_angle_gamma 90.00
_symmetry_space_group_name_H-M 'C 1 2/m 1'
_symmetry_Int_Tables_number 12
_symmetry_space_group_name_Hall '-C 2y'
loop_
_atom_site_label
_atom_site_fract_x
_atom_site_fract_y
_atom_site_fract_z
_atom_site_occupancy
Ca1 0.225 0.000 0.226 1
Ag1 0.000 0.239 0.000 1
S1 0.186 0.500 0.188 1
# Distance to the lowest polymorph of the same formula ... 0.205 eV per atom
# Raw formation energy ... -0.985 eV per atom
# Uncorrected energy ... -47.75 eV for the cell shown

---

# 14
# CaAgS GGA-PBE optimized geometry
data_CaAgS
_chemical_formula_sum 'Ca2 Ag2 S2'
_cell_length_a 4.0775
_cell_length_b 4.0775
_cell_length_c 9.6572
_cell_angle_alpha 90.00
_cell_angle_beta 90.00
_cell_angle_gamma 120.00
_symmetry_space_group_name_H-M 'P 3 m 1'
_symmetry_Int_Tables_number 156
_symmetry_space_group_name_Hall 'P 3 -2"'
loop_
_atom_site_label
_atom_site_fract_x
_atom_site_fract_y
_atom_site_fract_z
_atom_site_occupancy
Ca1 0.0000 0.0000 0.0000 1
Ca2 0.3333 0.6667 0.6603 1
Ag1 0.3333 0.6667 0.2168 1
Ag2 0.6667 0.3333 0.3767 1
S1 0.0000 0.0000 0.5070 1
S2 0.6667 0.3333 0.8431 1
# Distance to the lowest polymorph of the same formula ... 0.132 eV per atom
# Raw formation energy ... -1.059 eV per atom
# Uncorrected energy ... -24.31 eV for the cell shown

---

# 15
# CaAgS GGA-PBE optimized geometry
data_CaAgS
_chemical_formula_sum 'Ca4 Ag4 S4'
_cell_length_a 12.775
_cell_length_b 3.876
_cell_length_c 6.876
_cell_angle_alpha 90.00
_cell_angle_beta 120.47
_cell_angle_gamma 90.00
_symmetry_space_group_name_H-M 'C 1 m 1'
_symmetry_Int_Tables_number 8
_symmetry_space_group_name_Hall 'C -2y'
loop_
_atom_site_label
_atom_site_fract_x
_atom_site_fract_y
_atom_site_fract_z
_atom_site_occupancy
Ca1 0.000 0.000 0.000 1
Ca2 0.138 0.000 0.628 1
Ag1 0.231 0.500 0.060 1
Ag2 0.406 0.000 0.257 1
S1 0.003 0.500 0.713 1
S2 0.134 0.500 0.337 1
# Distance to the lowest polymorph of the same formula ... 0.185 eV per atom
# Raw formation energy ... -1.006 eV per atom
# Uncorrected energy ... -47.99 eV for the cell shown

---

# 16
# Ca3AgS GGA-PBE optimized geometry
data_Ca3AgS
_chemical_formula_sum 'Ca3 Ag1 S1'
_cell_length_a 5.374
_cell_length_b 5.374
_cell_length_c 5.374
_cell_angle_alpha 90.00
_cell_angle_beta 90.00
_cell_angle_gamma 90.00
_symmetry_space_group_name_H-M 'P m -3 m'
_symmetry_Int_Tables_number 221
_symmetry_space_group_name_Hall '-P 4 2 3'
loop_
_atom_site_label
_atom_site_fract_x
_atom_site_fract_y
_atom_site_fract_z
_atom_site_occupancy
Ca1 0.000 0.000 0.500 1
Ag1 0.500 0.500 0.500 1
S1 0.000 0.000 0.000 1
# Distance to the lowest polymorph of the same formula ... 0.000 eV per atom
# Raw formation energy ... -0.731 eV per atom
# Uncorrected energy ... -16.64 eV for the cell shown

---

# 17
# CaAgS2 GGA-PBE optimized geometry
data_CaAgS2
_chemical_formula_sum 'Ca3 Ag3 S6'
_cell_length_a 4.0061
_cell_length_b 4.0061
_cell_length_c 18.6498
_cell_angle_alpha 90.00
_cell_angle_beta 90.00
_cell_angle_gamma 120.00
_symmetry_space_group_name_H-M 'R 3 m'
_symmetry_Int_Tables_number 160
_symmetry_space_group_name_Hall 'R 3 -2"'
loop_
_atom_site_label
_atom_site_fract_x
_atom_site_fract_y
_atom_site_fract_z
_atom_site_occupancy
Ca1 0.0000 0.0000 0.0000 1
Ag1 0.0000 0.0000 0.1728 1
S1 0.0000 0.0000 0.5832 1
S2 0.0000 0.0000 0.7551 1
# Raw formation energy ... -0.810 eV per atom
# Uncorrected energy ... -49.05 eV for the cell shown

---

# 18
# Ca2AgS2 GGA-PBE optimized geometry
data_Ca2AgS2
_chemical_formula_sum 'Ca4 Ag2 S4'
_cell_length_a 5.342
_cell_length_b 5.342
_cell_length_c 10.705
_cell_angle_alpha 90.00
_cell_angle_beta 90.00
_cell_angle_gamma 90.00
_symmetry_space_group_name_H-M 'I 4/m m m'
_symmetry_Int_Tables_number 139
_symmetry_space_group_name_Hall '-I 4 2'
loop_
_atom_site_label
_atom_site_fract_x
_atom_site_fract_y
_atom_site_fract_z
_atom_site_occupancy
Ca1 0.000 0.000 0.204 1
Ag1 0.000 0.000 0.500 1
S1 0.000 0.500 0.250 1
# Distance to the lowest polymorph of the same formula ... 0.307 eV per atom
# Raw formation energy ... -0.994 eV per atom
# Uncorrected energy ... -40.16 eV for the cell shown

---

# 19
# CaAgS GGA-PBE optimized geometry
data_CaAgS
_chemical_formula_sum 'Ca2 Ag2 S2'
_cell_length_a 3.622
_cell_length_b 3.876
_cell_length_c 9.508
_cell_angle_alpha 90.00
_cell_angle_beta 90.00
_cell_angle_gamma 90.00
_symmetry_space_group_name_H-M 'P m m 2'
_symmetry_Int_Tables_number 25
_symmetry_space_group_name_Hall 'P 2 -2'
loop_
_atom_site_label
_atom_site_fract_x
_atom_site_fract_y
_atom_site_fract_z
_atom_site_occupancy
Ca1 0.000 0.000 0.000 1
Ca2 0.000 0.500 0.358 1
Ag1 0.000 0.500 0.695 1
Ag2 0.500 0.000 0.585 1
S1 0.500 0.000 0.256 1
S2 0.500 0.500 0.911 1
# Distance to the lowest polymorph of the same formula ... 0.097 eV per atom
# Raw formation energy ... -1.094 eV per atom
# Uncorrected energy ... -24.52 eV for the cell shown

---

# 20
# CaAgS GGA-PBE optimized geometry
data_CaAgS
_chemical_formula_sum 'Ca4 Ag4 S4'
_cell_length_a 12.200
_cell_length_b 4.164
_cell_length_c 5.601
_cell_angle_alpha 90.00
_cell_angle_beta 104.20
_cell_angle_gamma 90.00
_symmetry_space_group_name_H-M 'C 1 2/m 1'
_symmetry_Int_Tables_number 12
_symmetry_space_group_name_Hall '-C 2y'
loop_
_atom_site_label
_atom_site_fract_x
_atom_site_fract_y
_atom_site_fract_z
_atom_site_occupancy
Ca1 0.168 0.000 0.209 1
Ag1 0.047 0.500 0.801 1
S1 0.169 0.000 0.702 1
# Distance to the lowest polymorph of the same formula ... 0.140 eV per atom
# Raw formation energy ... -1.051 eV per atom
# Uncorrected energy ... -48.53 eV for the cell shown